The following is a PBE-GGA calculation of crystalline HoMnFeC at its relaxed geometry, from Alexandria.

Cell lengths 3.6173, 3.6173, 10.2766 Å; angles 90.00, 90.00, 90.00 degrees
Fractional positions:
1 Ho 0.2500 0.2500 0.2142
2 Ho 0.7500 0.7500 0.7858
3 Mn 0.2500 0.7500 0.5000
4 Mn 0.7500 0.2500 0.5000
5 Fe 0.2500 0.7500 0.0000
6 Fe 0.7500 0.2500 0.0000
7 C 0.2500 0.2500 0.4467
8 C 0.7500 0.7500 0.5533

DOS at the Fermi energy (states/eV/f.u.): 2.61
Space-group type: No. 129
Energy of formation (eV per atom): 0.183
VASP energy (eV/atom): -7.676